# 1
First-principles (PBE) data for a geometry-optimized CoIr4Cl structure, as listed in Alexandria.

Values from the calculation:
- Raw formation energy: 1.114 eV/atom

abc: 5.238 5.238 5.238
angles: 60.00 60.00 60.00
Positions (direct):
1 Co 0.000 0.000 0.000
2 Ir 0.876 0.375 0.375
3 Ir 0.375 0.375 0.876
4 Ir 0.375 0.876 0.375
5 Ir 0.375 0.375 0.375
6 Cl 0.750 0.750 0.750



# 2
First-principles (PBE) data for a geometry-optimized DyThBi2 structure, as listed in Alexandria.

Values from the calculation:
- Calculated formation energy: -0.620 eV per atom

abc: 4.471 4.471 8.205
angles: 74.19 74.19 60.00
Positions (direct):
1 Dy 0.497 0.497 0.509
2 Th 0.669 0.669 0.992
3 Bi 0.085 0.085 0.744
4 Bi 0.249 0.249 0.254



no.,density (g cm⁻³)
1,14.10
2,10.01